Entry 1:
! PBE-GGA BH2Rh4, relaxed; values from VASP
! ΔE to the lowest computed polymorph = 0.00 kJ/mol of atoms
! symmetry = P2/m
! magnetic moment = 0.00 μB/cell
! density = 9.69 g/cm3
&SYSTEM
  ibrav = 0, nat = 7, ntyp = 3
/
ATOMIC_SPECIES
Rh 102.91 Rh.upf
H 1.01 H.upf
B 10.81 B.upf
ATOMIC_POSITIONS angstrom
Rh -0.181 -4.693 -3.810
Rh -2.493 -1.119 -3.879
Rh -2.980 -4.019 -3.532
Rh 0.306 -1.794 -4.157
H -1.050 -1.496 -2.875
H -1.624 -4.316 -4.814
B 0.000 0.000 0.000
CELL_PARAMETERS angstrom
-1.606 1.780 -2.115
1.483 -3.548 -4.111
-2.550 -4.044 -1.463

Entry 2:
! PBE-GGA PrGd3F, relaxed; values from VASP
! uncorrected formation energy = -4.651 eV/f.u.
! symmetry = Pm-3m
! magnetic moment = 21.35 μB/cell
! density = 7.69 g/cm3
&SYSTEM
  ibrav = 0, nat = 5, ntyp = 3
/
ATOMIC_SPECIES
Gd 157.25 Gd.upf
F 19.00 F.upf
Pr 140.91 Pr.upf
ATOMIC_POSITIONS angstrom
Gd 2.573 0.000 0.000
Gd 0.000 0.000 2.573
Gd 0.000 2.573 0.000
F 0.000 0.000 0.000
Pr 2.573 2.573 2.573
CELL_PARAMETERS angstrom
5.147 0.000 0.000
0.000 5.147 0.000
0.000 0.000 5.147

Entry 3:
! PBE-GGA Re4Pb5, relaxed; values from VASP
! ΔE to the lowest computed polymorph = 0.00 kJ/mol of atoms
! symmetry = I4/mmm
! magnetic moment = 0.00 μB/cell
! energy relative to the elements = 0.843 eV per atom
! density = 13.76 g/cm3
&SYSTEM
  ibrav = 0, nat = 9, ntyp = 2
/
ATOMIC_SPECIES
Pb 207.20 Pb.upf
Re 186.21 Re.upf
ATOMIC_POSITIONS angstrom
Pb -1.673 0.483 2.670
Pb -2.342 -2.159 -0.128
Pb 1.500 -2.774 -0.466
Pb -4.455 -2.001 -2.429
Pb 0.000 0.000 0.000
Re -4.300 0.688 0.378
Re -0.749 -2.957 -3.131
Re -1.242 -4.903 -5.193
Re -7.131 1.142 0.627
CELL_PARAMETERS angstrom
4.634 -5.990 -3.563
-4.807 3.699 5.767
-6.624 -1.869 -4.761

Entry 4:
! PBE-GGA SmHo5Au4, relaxed; values from VASP
! symmetry = P4/mmm
! magnetic moment = 0.00 μB/cell
! energy relative to the elements = -0.690 eV per atom
! density = 11.76 g/cm3
&SYSTEM
  ibrav = 0, nat = 10, ntyp = 3
/
ATOMIC_SPECIES
Au 196.97 Au.upf
Ho 164.93 Ho.upf
Sm 150.36 Sm.upf
ATOMIC_POSITIONS angstrom
Au -0.041 -7.716 2.048
Au -0.059 -11.236 2.982
Au -0.022 -4.177 1.108
Au -0.078 -14.776 3.922
Ho -1.897 -2.910 -0.959
Ho -1.915 -6.379 -0.038
Ho -1.934 -9.896 0.895
Ho -1.971 -16.882 2.750
Ho -1.952 -13.413 1.829
Sm 0.000 0.000 0.000
CELL_PARAMETERS angstrom
-3.557 0.072 0.199
-0.211 -0.911 -3.438
-0.100 -18.952 5.030

Entry 5:
! PBE-GGA Rb3In2Sb3, relaxed; values from VASP
! uncorrected formation energy = -2.826 eV/f.u.
! symmetry = Cmcm
! magnetic moment = 0.00 μB/cell
! density = 4.52 g/cm3
&SYSTEM
  ibrav = 0, nat = 16, ntyp = 3
/
ATOMIC_SPECIES
In 114.82 In.upf
Rb 85.47 Rb.upf
Sb 121.76 Sb.upf
ATOMIC_POSITIONS angstrom
In -6.213 -4.053 2.313
In -3.255 -1.856 -1.445
In -9.409 -3.381 4.596
In -12.368 -5.578 8.354
Rb -6.631 -0.895 -3.125
Rb -9.256 -2.845 0.209
Rb -8.991 -6.539 10.035
Rb -6.366 -4.589 6.700
Rb -10.478 -6.980 5.337
Rb -5.145 -0.454 1.573
Sb -3.066 1.055 -0.716
Sb -8.699 -5.623 2.723
Sb -6.924 -1.811 4.186
Sb -5.638 -3.412 -0.545
Sb -9.984 -4.022 7.454
Sb -12.557 -8.489 7.625
CELL_PARAMETERS angstrom
-2.540 4.131 0.416
-3.630 -4.544 -5.515
-9.452 -7.021 12.008

Entry 6:
! PBE-GGA Sc2InTeO8, relaxed; values from VASP
! uncorrected formation energy = -24.763 eV/f.u.
! symmetry = Cmmm
! magnetic moment = 0.63 μB/cell
! density = 5.03 g/cm3
&SYSTEM
  ibrav = 0, nat = 12, ntyp = 4
/
ATOMIC_SPECIES
Sc 44.96 Sc.upf
Te 127.60 Te.upf
O 16.00 O.upf
In 114.82 In.upf
ATOMIC_POSITIONS angstrom
Sc 2.398 2.389 1.648
Sc 2.399 2.392 4.845
Te 0.000 0.000 0.000
O 3.412 3.401 -0.006
O 1.490 1.483 3.248
O 1.385 1.380 6.498
O 3.307 3.298 3.245
O 0.894 3.902 5.060
O 0.892 3.898 1.431
O 3.905 0.883 5.061
O 3.903 0.879 1.433
In 0.002 0.004 3.250
CELL_PARAMETERS angstrom
4.835 -0.062 -0.003
-0.042 4.836 -0.005
0.004 0.007 6.501

Entry 7:
! PBE-GGA BeCo2AsPd, relaxed; values from VASP
! symmetry = P4/mmm
! magnetic moment = 4.07 μB/cell
! energy relative to the elements = 1.392 eV per atom
! density = 5.20 g/cm3
&SYSTEM
  ibrav = 0, nat = 5, ntyp = 4
/
ATOMIC_SPECIES
Be 9.01 Be.upf
Co 58.93 Co.upf
Pd 106.42 Pd.upf
As 74.92 As.upf
ATOMIC_POSITIONS angstrom
Be -1.073 3.845 0.218
Co 1.184 1.673 1.095
Co -0.325 1.417 -1.814
Pd 0.000 0.000 0.000
As -1.932 0.755 0.936
CELL_PARAMETERS angstrom
-0.649 2.834 -3.627
-3.865 1.510 1.872
2.369 3.346 2.190

Entry 8:
! PBE-GGA GaReGe2, relaxed; values from VASP
! ΔE to the lowest computed polymorph = 53.81 kJ/mol of atoms
! symmetry = I-42d
! magnetic moment = 0.00 μB/cell
! energy relative to the elements = 0.714 eV per atom
! density = 6.99 g/cm3
&SYSTEM
  ibrav = 0, nat = 8, ntyp = 3
/
ATOMIC_SPECIES
Ga 69.72 Ga.upf
Ge 72.64 Ge.upf
Re 186.21 Re.upf
ATOMIC_POSITIONS angstrom
Ga 1.519 -1.284 -3.629
Ga 5.476 -1.067 -4.410
Ge 1.712 -3.726 -2.805
Ge 3.592 0.187 -3.161
Ge 5.592 -3.444 -3.400
Ge 7.284 -4.606 -7.242
Re 0.000 0.000 0.000
Re 3.614 -4.727 -3.894
CELL_PARAMETERS angstrom
-0.343 -4.944 -3.114
3.381 2.376 -4.145
6.053 -3.226 -1.045

Entry 9:
! PBE-GGA BaInTe3, relaxed; values from VASP
! ΔE to the lowest computed polymorph = 83.33 kJ/mol of atoms
! uncorrected formation energy = 0.359 eV/f.u.
! symmetry = Pm-3m
! magnetic moment = 3.00 μB/cell
! density = 3.71 g/cm3
&SYSTEM
  ibrav = 0, nat = 5, ntyp = 3
/
ATOMIC_SPECIES
Te 127.60 Te.upf
Ba 137.33 Ba.upf
In 114.82 In.upf
ATOMIC_POSITIONS angstrom
Te 3.288 0.000 0.000
Te 0.000 0.000 3.288
Te 0.000 3.288 0.000
Ba 0.000 0.000 0.000
In 3.288 3.288 3.288
CELL_PARAMETERS angstrom
6.576 0.000 0.000
0.000 6.576 0.000
0.000 0.000 6.576

Entry 10:
! PBE-GGA Ac6Ni3Cl2, relaxed; values from VASP
! uncorrected formation energy = -7.847 eV/f.u.
! symmetry = C2/m
! magnetic moment = 0.00 μB/cell
! density = 7.34 g/cm3
&SYSTEM
  ibrav = 0, nat = 11, ntyp = 3
/
ATOMIC_SPECIES
Ni 58.69 Ni.upf
Ac 227.00 Ac.upf
Cl 35.45 Cl.upf
ATOMIC_POSITIONS angstrom
Ni -7.856 3.579 -0.163
Ni -3.974 1.756 -0.078
Ni 0.000 0.000 0.000
Ac -9.331 5.661 1.270
Ac -5.306 3.941 1.344
Ac -1.457 2.211 1.436
Ac -7.808 4.044 5.711
Ac -3.783 2.324 5.785
Ac -4.192 6.508 5.407
Cl -6.782 6.127 3.342
Cl -6.332 1.858 3.713
CELL_PARAMETERS angstrom
-4.366 6.068 -0.453
-7.464 -0.733 0.212
-1.284 2.650 7.296

Entry 11:
! PBE-GGA LiAgF, relaxed; values from VASP
! ΔE to the lowest computed polymorph = 0.00 kJ/mol of atoms
! uncorrected formation energy = -4.912 eV/f.u.
! symmetry = P3m1
! magnetic moment = 0.00 μB/cell
! density = 4.20 g/cm3
&SYSTEM
  ibrav = 0, nat = 3, ntyp = 3
/
ATOMIC_SPECIES
Li 6.94 Li.upf
F 19.00 F.upf
Ag 107.87 Ag.upf
ATOMIC_POSITIONS angstrom
Li 1.504 2.663 2.232
F 2.319 1.214 2.744
Ag 5.152 3.673 2.281
CELL_PARAMETERS angstrom
-1.882 2.278 0.583
0.548 -2.078 2.110
5.155 3.675 2.282

Entry 12:
! PBE-GGA TlRe2Sb, relaxed; values from VASP
! ΔE to the lowest computed polymorph = 18.82 kJ/mol of atoms
! uncorrected formation energy = 2.305 eV/f.u.
! symmetry = R3m
! magnetic moment = 0.00 μB/cell
! density = 13.73 g/cm3
&SYSTEM
  ibrav = 0, nat = 4, ntyp = 3
/
ATOMIC_SPECIES
Re 186.21 Re.upf
Sb 121.76 Sb.upf
Tl 204.38 Tl.upf
ATOMIC_POSITIONS angstrom
Re -6.005 -10.264 29.698
Re -1.568 -2.681 7.757
Sb -3.172 -5.421 15.686
Tl -4.471 -7.642 22.111
CELL_PARAMETERS angstrom
-2.880 -1.994 10.371
-2.882 -4.834 9.389
-0.325 -3.575 10.341